Entry 1:
Tl12SnPb7 | PBE | optimized geometry

Cell and atoms, written as POSCAR:
```
Tl12SnPb7
1.0
7.3531 4.2453 3.4365
-7.3531 4.2453 3.4365
0.0000 -8.4906 3.4365
Tl Sn Pb
12 1 7
direct
0.0981 0.8207 0.2860
0.1094 0.2077 0.4262
0.1793 0.7140 0.9019
0.2077 0.4262 0.1094
0.2860 0.0981 0.8207
0.4262 0.1094 0.2077
0.5738 0.8906 0.7923
0.7140 0.9019 0.1793
0.7923 0.5738 0.8906
0.8207 0.2860 0.0981
0.8906 0.7923 0.5738
0.9019 0.1793 0.7140
0.5000 0.5000 0.5000
0.0000 0.0000 0.0000
0.1884 0.6099 0.5050
0.3901 0.4950 0.8116
0.4950 0.8116 0.3901
0.5050 0.1884 0.6099
0.6099 0.5050 0.1884
0.8116 0.3901 0.4950
```

- Raw total energy: -57.73 eV per cell
- Total moment: 0.00 μB/f.u.
- DFT formation energy: 32 meV/atom

=====

Entry 2:
PRu | PBE | optimized geometry

Cell and atoms, written as POSCAR:
```
PRu
1.0
11.1571 0.0000 0.0000
0.0000 11.1571 0.0000
0.0000 0.0000 2.9223
P Ru
8 8
direct
0.0963 0.6291 0.0000
0.2550 0.3660 0.5000
0.3660 0.7450 0.5000
0.3709 0.0963 0.0000
0.6291 0.9037 0.0000
0.6340 0.2550 0.5000
0.7450 0.6340 0.5000
0.9037 0.3709 0.0000
0.1048 0.4202 0.0000
0.2456 0.5797 0.5000
0.4203 0.2456 0.5000
0.4202 0.8952 0.0000
0.5798 0.1048 0.0000
0.5797 0.7544 0.5000
0.7544 0.4203 0.5000
0.8952 0.5798 0.0000
```

- Raw total energy: -120.43 eV per cell
- Total moment: 0.00 μB/f.u.
- DFT formation energy: -184 meV/atom
- ΔE to the lowest computed polymorph: 377.2 meV/atom

=====

Entry 3:
La2VCoNi | PBE | optimized geometry

Cell and atoms, written as POSCAR:
```
La2VCoNi
1.0
5.3611 0.0000 0.0000
0.0000 5.3611 0.0000
0.0000 0.0000 4.3200
La V Co Ni
2 1 1 1
direct
0.0000 0.5000 0.0000
0.5000 0.0000 0.0000
0.0000 0.0000 0.5000
0.0000 0.0000 0.0000
0.5000 0.5000 0.5000
```

- Raw total energy: -29.97 eV per cell
- Total moment: 2.64 μB/f.u.
- DFT formation energy: 377 meV/atom